PBE-GGA BeCoP2, optimized geometry; energy of formation from the pure elements = 12.93 kJ/mol of atoms
1.0
-5.040 -1.421 1.175
2.926 -0.645 2.659
-1.386 1.498 2.156
P Co Be
2 1 1
direct
0.000 0.000 0.000 P
0.500 0.000 0.500 P
0.500 0.500 0.000 Co
0.000 0.500 0.500 Be

PBE-GGA RbTl2PtBr, optimized geometry; E_form (uncorrected) = -536 meV/atom
1.0
-0.314 -0.555 -5.258
-3.131 -4.226 0.633
-5.349 3.949 -0.098
Tl Br Rb Pt
2 1 1 1
direct
0.000 0.500 0.000 Tl
0.500 0.000 0.000 Tl
0.500 0.500 0.500 Br
0.000 0.000 0.500 Rb
0.000 0.000 0.000 Pt

PBE-GGA Ti2TlHg2, optimized geometry; energy of formation from the pure elements = 15.32 kJ/mol of atoms
1.0
-1.062 -7.936 -1.216
7.811 -0.738 -2.007
0.753 -0.583 3.145
Tl Hg Ti
2 4 4
direct
0.000 0.000 0.000 Tl
0.500 0.500 0.000 Tl
0.180 0.680 0.500 Hg
0.680 0.820 0.500 Hg
0.820 0.320 0.500 Hg
0.320 0.180 0.500 Hg
0.386 0.886 0.000 Ti
0.886 0.614 0.000 Ti
0.614 0.114 0.000 Ti
0.114 0.386 0.000 Ti

PBE-GGA ErSc3O, optimized geometry; E_form (uncorrected) = -1034 meV/atom
1.0
-1.952 2.053 3.660
-2.896 -3.581 0.464
3.038 -2.095 2.795
Sc O Er
3 1 1
direct
0.000 0.500 0.000 Sc
0.000 0.000 0.500 Sc
0.500 0.000 0.000 Sc
0.000 0.000 0.000 O
0.500 0.500 0.500 Er

no.,VASP energy (eV/cell)
1,-21.12
2,-16.09
3,-35.93
4,-33.69